Entry 1:
Li8MgCu2 | PBE | relaxed

crystal system: monoclinic
E_tot: -2.2386 eV per atom
N(E_F): 8.063 states/eV per cell

abc: 11.462 5.469 6.429
angles: 90.00 103.95 90.00
Space group C2/m (No. 12)
One atom of each set of equivalent atoms:
Li 0.074 0.000 0.358
Li 0.116 0.243 0.950
Li 0.227 0.500 0.325
Mg 0.000 0.500 0.500
Cu 0.227 0.500 0.735


Entry 2:
Li2Mg2Cu | PBE | relaxed

crystal system: tetragonal
E_tot: -2.1605 eV per atom
N(E_F): 3.820 states/eV per cell

abc: 6.378 6.378 4.369
angles: 90.00 90.00 90.00
Space group P4/mbm (No. 127)
One atom of each set of equivalent atoms:
Li 0.138 0.362 0.000
Mg 0.178 0.678 0.500
Cu 0.000 0.000 0.000